# YSbP2O

A relaxed structure of YSbP2O (PBE, the Alexandria database).

Calculated values
* DOS(E_F): 4.87 states/eV/cell
* excess energy over the best structure of this formula in the dataset: 267 meV/atom
* DFT total energy: -5.41 eV/atom
* crystal system: tetragonal
* energy relative to the elements, uncorrected: -0.134 eV per atom

Cell: 5.414 5.414 4.129 Å, 90.00 90.00 90.00°
Space group P4/mmm (No. 123)
Unique sites:
Y 0.000 0.000 0.000 (multiplicity 1)
Sb 0.500 0.500 0.500 (multiplicity 1)
P 0.000 0.500 0.000 (multiplicity 2)
O 0.000 0.000 0.500 (multiplicity 1)



# YSbPO2

A relaxed structure of YSbPO2 (PBE, the Alexandria database).

Calculated values
* DOS(E_F): 1.30 states/eV/cell
* excess energy over the best structure of this formula in the dataset: 0 meV/atom
* DFT total energy: -6.30 eV/atom
* crystal system: tetragonal
* energy relative to the elements, uncorrected: -1.121 eV per atom

Cell: 4.127 4.127 5.158 Å, 90.00 90.00 90.00°
Space group P4/mmm (No. 123)
Unique sites:
Y 0.000 0.000 0.000 (multiplicity 1)
Sb 0.500 0.500 0.500 (multiplicity 1)
P 0.500 0.500 0.000 (multiplicity 1)
O 0.000 0.500 0.500 (multiplicity 2)



# ZnSb2P2O10

A relaxed structure of ZnSb2P2O10 (PBE, the Alexandria database).

Calculated values
* DFT total energy: -6.32 eV/atom
* crystal system: orthorhombic
* energy relative to the elements, uncorrected: -1.656 eV per atom

Cell: 12.379 16.031 8.503 Å, 90.00 90.00 90.00°
Space group Fdd2 (No. 43)
Unique sites:
Zn 0.000 0.000 0.000 (multiplicity 8)
Sb 0.105 0.146 0.683 (multiplicity 16)
P 0.023 0.189 0.051 (multiplicity 16)
O 0.001 0.404 0.037 (multiplicity 16)
O 0.013 0.181 0.867 (multiplicity 16)
O 0.014 0.102 0.125 (multiplicity 16)
O 0.083 0.262 0.598 (multiplicity 16)
O 0.125 0.240 0.094 (multiplicity 16)



# ScP2O7

A relaxed structure of ScP2O7 (PBE, the Alexandria database).

Calculated values
* DOS(E_F): 4.76 states/eV/cell
* DFT total energy: -7.59 eV/atom
* crystal system: monoclinic
* energy relative to the elements, uncorrected: -2.401 eV per atom

Cell: 5.181 8.577 7.169 Å, 90.00 105.28 90.00°
Space group P2_1 (No. 4)
Unique sites:
Sc 0.203 0.000 0.229 (multiplicity 2)
P 0.264 0.262 0.614 (multiplicity 2)
P 0.384 0.683 0.010 (multiplicity 2)
O 0.033 0.331 0.683 (multiplicity 2)
O 0.153 0.566 0.972 (multiplicity 2)
O 0.167 0.163 0.434 (multiplicity 2)
O 0.280 0.849 0.015 (multiplicity 2)
O 0.428 0.143 0.777 (multiplicity 2)
O 0.449 0.160 0.134 (multiplicity 2)
O 0.454 0.394 0.592 (multiplicity 2)



# ScPO

A relaxed structure of ScPO (PBE, the Alexandria database).

Calculated values
* DOS(E_F): 2.48 states/eV/cell
* DFT total energy: -7.55 eV/atom
* crystal system: monoclinic
* energy relative to the elements, uncorrected: -1.980 eV per atom

Cell: 11.611 3.053 6.036 Å, 90.00 114.88 90.00°
Space group C2/m (No. 12)
Unique sites:
Sc 0.000 0.000 0.000 (multiplicity 2)
Sc 0.000 0.000 0.500 (multiplicity 2)
P 0.247 0.000 0.372 (multiplicity 4)
O 0.023 0.500 0.779 (multiplicity 4)



# ScP2O6

A relaxed structure of ScP2O6 (PBE, the Alexandria database).

Calculated values
* DOS(E_F): 3.85 states/eV/cell
* DFT total energy: -7.48 eV/atom
* crystal system: trigonal
* energy relative to the elements, uncorrected: -2.271 eV per atom

Cell: 5.3144 5.3144 17.5264 Å, 90.00 90.00 120.00°
Space group R3 (No. 146, hexagonal axes)
Unique sites:
Sc 0.0000 0.0000 0.0000 (multiplicity 3)
P 0.0000 0.0000 0.6007 (multiplicity 3)
P 0.0000 0.0000 0.7320 (multiplicity 3)
O 0.0156 0.4406 0.2546 (multiplicity 9)
O 0.0169 0.5807 0.4111 (multiplicity 9)



# Sc2PO

A relaxed structure of Sc2PO (PBE, the Alexandria database).

Calculated values
* DOS(E_F): 5.19 states/eV/cell
* excess energy over the best structure of this formula in the dataset: 0 meV/atom
* DFT total energy: -7.84 eV/atom
* crystal system: monoclinic
* energy relative to the elements, uncorrected: -2.078 eV per atom

Cell: 5.126 5.121 10.742 Å, 90.00 116.60 90.00°
Space group P2/c (No. 13)
Unique sites:
Sc 0.105 0.219 0.110 (multiplicity 4)
Sc 0.324 0.233 0.861 (multiplicity 4)
P 0.378 0.264 0.375 (multiplicity 4)
O 0.086 0.208 0.624 (multiplicity 4)



# ScP3O9

A relaxed structure of ScP3O9 (PBE, the Alexandria database).

Calculated values
* DOS(E_F): 0.00 states/eV/cell
* excess energy over the best structure of this formula in the dataset: 9 meV/atom
* DFT total energy: -7.65 eV/atom
* crystal system: monoclinic
* energy relative to the elements, uncorrected: -2.480 eV per atom

Cell: 13.777 19.842 9.864 Å, 90.00 127.04 90.00°
Space group Cc (No. 9)
Unique sites:
Sc 0.000 0.078 0.000 (multiplicity 4)
Sc 0.001 0.411 0.000 (multiplicity 4)
Sc 0.485 0.256 0.967 (multiplicity 4)
P 0.137 0.136 0.820 (multiplicity 4)
P 0.138 0.196 0.310 (multiplicity 4)
P 0.148 0.471 0.835 (multiplicity 4)
P 0.228 0.358 0.709 (multiplicity 4)
P 0.254 0.311 0.256 (multiplicity 4)
P 0.262 0.024 0.772 (multiplicity 4)
P 0.344 0.136 0.651 (multiplicity 4)
P 0.349 0.200 0.149 (multiplicity 4)
P 0.355 0.468 0.667 (multiplicity 4)
O 0.034 0.220 0.309 (multiplicity 4)
O 0.046 0.105 0.839 (multiplicity 4)
O 0.057 0.460 0.869 (multiplicity 4)
O 0.090 0.170 0.656 (multiplicity 4)
O 0.106 0.161 0.153 (multiplicity 4)
O 0.122 0.475 0.212 (multiplicity 4)
O 0.132 0.311 0.576 (multiplicity 4)
O 0.135 0.335 0.101 (multiplicity 4)
O 0.145 0.009 0.132 (multiplicity 4)
O 0.167 0.400 0.778 (multiplicity 4)
O 0.218 0.147 0.467 (multiplicity 4)
O 0.218 0.188 0.972 (multiplicity 4)
O 0.232 0.256 0.357 (multiplicity 4)
O 0.239 0.081 0.866 (multiplicity 4)
O 0.253 0.412 0.611 (multiplicity 4)
O 0.280 0.479 0.013 (multiplicity 4)
O 0.318 0.064 0.691 (multiplicity 4)
O 0.325 0.271 0.200 (multiplicity 4)
O 0.343 0.361 0.382 (multiplicity 4)
O 0.346 0.328 0.856 (multiplicity 4)
O 0.359 0.187 0.775 (multiplicity 4)
O 0.361 0.019 0.411 (multiplicity 4)
O 0.379 0.147 0.278 (multiplicity 4)
O 0.390 0.499 0.328 (multiplicity 4)
O 0.441 0.212 0.117 (multiplicity 4)
O 0.445 0.131 0.635 (multiplicity 4)
O 0.457 0.442 0.668 (multiplicity 4)



# Sc2PO

A relaxed structure of Sc2PO (PBE, the Alexandria database).

Calculated values
* DOS(E_F): 12.36 states/eV/cell
* excess energy over the best structure of this formula in the dataset: 630 meV/atom
* DFT total energy: -7.21 eV/atom
* crystal system: cubic
* energy relative to the elements, uncorrected: -1.448 eV per atom

Cell: 6.186 6.186 6.186 Å, 90.00 90.00 90.00°
Space group Fm-3m (No. 225)
Unique sites:
Sc 0.250 0.250 0.250 (multiplicity 8)
P 0.000 0.000 0.000 (multiplicity 4)
O 0.000 0.000 0.500 (multiplicity 4)



# ScP3O9

A relaxed structure of ScP3O9 (PBE, the Alexandria database).

Calculated values
* DOS(E_F): 0.00 states/eV/cell
* excess energy over the best structure of this formula in the dataset: 0 meV/atom
* DFT total energy: -7.66 eV/atom
* crystal system: cubic
* energy relative to the elements, uncorrected: -2.490 eV per atom

Cell: 14.570 14.570 14.570 Å, 90.00 90.00 90.00°
Space group I-43d (No. 220)
Unique sites:
Sc 0.104 0.396 0.604 (multiplicity 16)
P 0.045 0.376 0.833 (multiplicity 48)
O 0.013 0.101 0.177 (multiplicity 48)
O 0.028 0.135 0.556 (multiplicity 48)
O 0.062 0.153 0.843 (multiplicity 48)



# Sc6P2O

A relaxed structure of Sc6P2O (PBE, the Alexandria database).

Calculated values
* DOS(E_F): 17.79 states/eV/cell
* DFT total energy: -7.35 eV/atom
* crystal system: monoclinic
* energy relative to the elements, uncorrected: -1.377 eV per atom

Cell: 5.778 6.711 10.051 Å, 90.00 123.61 90.00°
Space group P2_1/c (No. 14)
Unique sites:
Sc 0.118 0.029 0.252 (multiplicity 4)
Sc 0.200 0.690 0.053 (multiplicity 4)
Sc 0.381 0.169 0.050 (multiplicity 4)
P 0.313 0.119 0.752 (multiplicity 4)
O 0.000 0.000 0.000 (multiplicity 2)



# ScPO6

A relaxed structure of ScPO6 (PBE, the Alexandria database).

Calculated values
* DOS(E_F): 25.28 states/eV/cell
* excess energy over the best structure of this formula in the dataset: 614 meV/atom
* DFT total energy: -6.66 eV/atom
* crystal system: cubic
* energy relative to the elements, uncorrected: -1.478 eV per atom

Cell: 7.503 7.503 7.503 Å, 90.00 90.00 90.00°
Space group Fm-3m (No. 225)
Unique sites:
Sc 0.000 0.000 0.000 (multiplicity 4)
P 0.000 0.000 0.500 (multiplicity 4)
O 0.000 0.000 0.279 (multiplicity 24)



What is the formula in the second record? YSbPO2